Entry 1:
{
  "formula": "Rb3Ho3PuSe8",
  "functional": "GGA-PBE",
  "state": "optimized geometry",
  "m_tot_mub_per_cell": 4.0,
  "e_tot_ev_per_atom": -5.56,
  "formation_energy_uncorrected_ev_per_atom": -1.64,
  "lattice_angstrom": [[8.368, 0.000, 0.000], [-4.184, 7.246, -0.027], [0.000, -4.797, 8.152]],
  "species": ["Rb", "Rb", "Rb", "Ho", "Ho", "Ho", "Pu", "Se", "Se", "Se", "Se", "Se", "Se", "Se", "Se"],
  "frac_coords": [[0.000, 0.000, 0.000], [0.000, 0.500, 0.000], [0.500, 0.500, 0.000], [0.500, 0.000, 0.500], [0.500, 0.500, 0.500], [0.000, 0.500, 0.500], [0.000, 0.000, 0.500], [0.269, 0.538, 0.306], [0.731, 0.462, 0.694], [0.771, 0.542, 0.310], [0.229, 0.458, 0.690], [0.771, 0.039, 0.310], [0.229, 0.961, 0.690], [0.268, 0.039, 0.310], [0.732, 0.961, 0.690]]
}

***

Entry 2:
{
  "formula": "Rb4HoPu3Se8",
  "functional": "GGA-PBE",
  "state": "optimized geometry",
  "m_tot_mub_per_cell": 15.0,
  "e_tot_ev_per_atom": -6.47,
  "formation_energy_uncorrected_ev_per_atom": -1.51,
  "lattice_angstrom": [[8.596, 0.000, 0.000], [0.000, 9.365, 0.529], [-4.298, -4.289, 6.085]],
  "species": ["Rb", "Rb", "Rb", "Rb", "Ho", "Pu", "Pu", "Pu", "Se", "Se", "Se", "Se", "Se", "Se", "Se", "Se"],
  "frac_coords": [[0.500, 0.000, 0.000], [0.500, 0.000, 0.500], [0.000, 0.000, 0.000], [0.000, 0.000, 0.500], [0.000, 0.500, 0.000], [0.500, 0.500, 0.000], [0.500, 0.500, 0.500], [0.000, 0.500, 0.500], [0.230, 0.695, 0.965], [0.230, 0.695, 0.459], [0.269, 0.306, 0.537], [0.736, 0.695, 0.965], [0.264, 0.305, 0.035], [0.731, 0.694, 0.463], [0.770, 0.305, 0.541], [0.770, 0.305, 0.035]]
}

***

Entry 3:
{
  "formula": "Rb2HoPuTe4",
  "functional": "GGA-PBE",
  "state": "optimized geometry",
  "m_tot_mub_per_cell": 5.0,
  "e_tot_ev_per_atom": -5.41,
  "formation_energy_uncorrected_ev_per_atom": -1.23,
  "lattice_angstrom": [[4.562, 0.000, 0.000], [0.000, 7.922, 0.140], [0.000, -2.785, 8.470]],
  "species": ["Rb", "Rb", "Ho", "Pu", "Te", "Te", "Te", "Te"],
  "frac_coords": [[0.500, 0.000, 0.500], [0.000, 0.500, 0.500], [0.500, 0.500, 0.000], [0.000, 0.000, 0.000], [0.500, 0.237, 0.199], [0.500, 0.763, 0.801], [0.000, 0.272, 0.801], [0.000, 0.728, 0.199]]
}

***

Entry 4:
{
  "formula": "Rb3Ho2PuTe6",
  "functional": "GGA-PBE",
  "state": "optimized geometry",
  "m_tot_mub_per_cell": 5.0,
  "e_tot_ev_per_atom": -5.04,
  "formation_energy_uncorrected_ev_per_atom": -1.27,
  "lattice_angstrom": [[-4.417, -0.287, -6.531], [-0.911, -5.461, 5.621], [-4.119, 6.785, 4.077]],
  "species": ["Rb", "Rb", "Rb", "Ho", "Ho", "Pu", "Te", "Te", "Te", "Te", "Te", "Te"],
  "frac_coords": [[0.166, 0.834, 0.500], [0.834, 0.166, 0.500], [0.500, 0.500, 0.500], [0.333, 0.667, 0.000], [0.667, 0.333, 0.000], [0.000, 0.000, 0.000], [0.934, 0.595, 0.801], [0.727, 0.727, 0.199], [0.066, 0.405, 0.199], [0.595, 0.934, 0.801], [0.273, 0.273, 0.801], [0.405, 0.066, 0.199]]
}

***

Entry 5:
{
  "formula": "Rb4Ho3PuTe8",
  "functional": "GGA-PBE",
  "state": "optimized geometry",
  "m_tot_mub_per_cell": 5.0,
  "e_tot_ev_per_atom": -4.87,
  "formation_energy_uncorrected_ev_per_atom": -1.30,
  "lattice_angstrom": [[-3.254, -3.438, -7.752], [6.049, -7.928, 0.976], [-5.633, 1.758, 6.906]],
  "species": ["Rb", "Rb", "Rb", "Rb", "Ho", "Ho", "Ho", "Pu", "Te", "Te", "Te", "Te", "Te", "Te", "Te", "Te"],
  "frac_coords": [[0.500, 0.000, 0.000], [0.500, 0.000, 0.500], [0.000, 0.000, 0.000], [0.000, 0.000, 0.500], [0.500, 0.500, 0.000], [0.500, 0.500, 0.500], [0.000, 0.500, 0.500], [0.000, 0.500, 0.000], [0.236, 0.699, 0.963], [0.236, 0.699, 0.471], [0.267, 0.302, 0.535], [0.728, 0.699, 0.963], [0.272, 0.301, 0.037], [0.733, 0.698, 0.465], [0.764, 0.301, 0.529], [0.764, 0.301, 0.037]]
}

***

Entry 6:
{
  "formula": "Rb3HoPu2Te6",
  "functional": "GGA-PBE",
  "state": "optimized geometry",
  "m_tot_mub_per_cell": 10.0,
  "e_tot_ev_per_atom": -5.77,
  "formation_energy_uncorrected_ev_per_atom": -1.19,
  "lattice_angstrom": [[7.924, -0.001, 0.000], [-3.961, 6.863, 0.000], [-1.322, -2.288, 8.524]],
  "species": ["Rb", "Rb", "Rb", "Ho", "Pu", "Pu", "Te", "Te", "Te", "Te", "Te", "Te"],
  "frac_coords": [[0.168, 0.832, 0.500], [0.832, 0.168, 0.500], [0.500, 0.500, 0.500], [0.000, 0.000, 0.000], [0.333, 0.667, 0.000], [0.667, 0.333, 0.000], [0.934, 0.604, 0.801], [0.737, 0.737, 0.199], [0.066, 0.396, 0.199], [0.604, 0.934, 0.801], [0.263, 0.263, 0.801], [0.396, 0.066, 0.199]]
}

***

Entry 7:
{
  "formula": "Ho2PuRe",
  "functional": "GGA-PBE",
  "state": "optimized geometry",
  "ef_ev_per_atom": 0.78,
  "m_tot_mub_per_cell": 5.5,
  "e_tot_ev_per_atom": -8.20,
  "lattice_angstrom": [[3.131, 0.000, 0.000], [1.565, 2.711, 0.000], [1.565, 0.904, 11.264]],
  "species": ["Re", "Ho", "Ho", "Pu"],
  "frac_coords": [[0.000, 0.000, 0.000], [0.081, 0.081, 0.758], [0.919, 0.919, 0.242], [0.500, 0.500, 0.500]]
}

***

Entry 8:
{
  "formula": "HoPu2Re9",
  "functional": "GGA-PBE",
  "state": "optimized geometry",
  "ef_ev_per_atom": 0.06,
  "m_tot_mub_per_cell": 9.7,
  "e_tot_ev_per_atom": -12.04,
  "lattice_angstrom": [[0.140, 1.653, 5.024], [2.541, -2.858, 3.656], [8.484, 4.157, 1.182]],
  "species": ["Ho", "Pu", "Pu", "Re", "Re", "Re", "Re", "Re", "Re", "Re", "Re", "Re"],
  "frac_coords": [[0.000, 0.000, 0.000], [0.854, 0.854, 0.437], [0.146, 0.146, 0.563], [0.665, 0.665, 0.004], [0.335, 0.335, 0.996], [0.500, 0.500, 0.500], [0.415, 0.415, 0.249], [0.921, 0.415, 0.249], [0.415, 0.921, 0.249], [0.585, 0.585, 0.751], [0.585, 0.079, 0.751], [0.079, 0.585, 0.751]]
}